First-principles (PBE with a Hubbard U) data for crystalline CsMoOF2 at its relaxed geometry, as listed in the Alexandria database.

Summary:
Calculated total energy   -27.167 eV per formula unit

```
data_CsMoOF2
_cell_length_a 4.453
_cell_length_b 4.453
_cell_length_c 4.224
_cell_angle_alpha 90.00
_cell_angle_beta 90.00
_cell_angle_gamma 90.00
_space_group_name_H-M_alt 'P 4/m m m'
_space_group_IT_number 123
_space_group_name_Hall '-P 4 2'
loop_
_atom_site_label
_atom_site_type_symbol
_atom_site_fract_x
_atom_site_fract_y
_atom_site_fract_z
_atom_site_occupancy
Cs1 Cs 0.000 0.000 0.000 1
Mo1 Mo 0.500 0.500 0.500 1
O1 O 0.500 0.500 0.000 1
F1 F 0.000 0.500 0.500 1
```